(1)
LaFeSn2Bi | PBE | optimized geometry

Output
Magnetic moment (μB/f.u.): 0.1
ΔE_f (eV per atom): -0.348

Cell: 5.0131 5.0131 5.1379 Å, 90.00 90.00 90.00°
Last column: nearest neighbours and their distance in Å.
Space group P4/mmm (No. 123)
Inequivalent atoms, fractional coordinates:
La 0.0000 0.0000 0.0000 [1 per cell]  2 Fe 2.57
Fe 0.0000 0.0000 0.5000 [1 per cell]  4 Sn 2.51, 2 La 2.57
Sn 0.0000 0.5000 0.5000 [2 per cell]  2 Fe 2.51
Bi 0.5000 0.5000 0.0000 [1 per cell]  4 La 3.54, 8 Sn 3.59

=====

(2)
La2FeBiTe | PBE | optimized geometry

Output
Raw formation energy (meV/atom): -581
Magnetic moment (μB/f.u.): 0.0

Cell: 5.5348 5.5348 4.8176 Å, 90.00 90.00 90.00°
Last column: nearest neighbours and their distance in Å.
Space group P4/mmm (No. 123)
Inequivalent atoms, fractional coordinates:
La 0.0000 0.5000 0.0000 [2 per cell]  2 Fe 2.77
Fe 0.0000 0.0000 0.0000 [1 per cell]  2 Bi 2.41
Bi 0.0000 0.0000 0.5000 [1 per cell]  2 Fe 2.41
Te 0.5000 0.5000 0.5000 [1 per cell]  8 La 3.67, 4 Bi 3.91

=====

(3)
La2FeBiW | PBE | optimized geometry

Output
Magnetic moment (μB/f.u.): 1.4
ΔE_f (eV per atom): 1.795

Cell: 6.0517 6.0517 5.0780 Å, 90.00 90.00 90.00°
Last column: nearest neighbours and their distance in Å.
Space group P4/mmm (No. 123)
Inequivalent atoms, fractional coordinates:
La 0.0000 0.5000 0.0000 [2 per cell]  2 Bi 3.03
Fe 0.0000 0.0000 0.5000 [1 per cell]  8 La 3.95, 4 W 4.28
Bi 0.5000 0.5000 0.0000 [1 per cell]  2 W 2.54
W 0.5000 0.5000 0.5000 [1 per cell]  2 Bi 2.54

=====

(4)
La2YFeBi | PBE | optimized geometry

Output
Magnetic moment (μB/f.u.): 0.0
ΔE_f (eV per atom): -0.385

Cell: 5.1031 5.1031 5.4972 Å, 90.00 90.00 90.00°
Last column: nearest neighbours and their distance in Å.
Space group P4/mmm (No. 123)
Inequivalent atoms, fractional coordinates:
La 0.0000 0.5000 0.0000 [2 per cell]  2 Fe 2.55
Y 0.0000 0.0000 0.5000 [1 per cell]  2 Fe 2.75
Fe 0.0000 0.0000 0.0000 [1 per cell]  4 La 2.55, 2 Y 2.75
Bi 0.5000 0.5000 0.5000 [1 per cell]  4 Y 3.61, 8 La 3.75

=====

(5)
Li3FeBi | PBE | optimized geometry

Output
Magnetic moment (μB/f.u.): 3.0
ΔE_f (eV per atom): 0.472
E above lowest polymorph (meV per atom): 0.0

Cell: 4.7167 4.7167 4.7167 Å, 90.00 90.00 90.00°
Last column: nearest neighbours and their distance in Å.
Space group Pm-3m (No. 221)
Inequivalent atoms, fractional coordinates:
Li 0.0000 0.0000 0.5000 [3 per cell]  2 Fe 2.36
Fe 0.0000 0.0000 0.0000 [1 per cell]  6 Li 2.36
Bi 0.5000 0.5000 0.5000 [1 per cell]  12 Li 3.34

=====

(6)
LiFeBi3 | PBE | optimized geometry

Output
Magnetic moment (μB/f.u.): 0.0
ΔE_f (eV per atom): 0.326
E above lowest polymorph (meV per atom): 0.0

Cell: 5.1599 5.1599 5.1599 Å, 90.00 90.00 90.00°
Last column: nearest neighbours and their distance in Å.
Space group Pm-3m (No. 221)
Inequivalent atoms, fractional coordinates:
Li 0.0000 0.0000 0.0000 [1 per cell]  12 Bi 3.65
Fe 0.5000 0.5000 0.5000 [1 per cell]  6 Bi 2.58
Bi 0.0000 0.5000 0.5000 [3 per cell]  2 Fe 2.58

=====

(7)
LiFeBi3 | PBE | optimized geometry

Output
Magnetic moment (μB/f.u.): 3.2
ΔE_f (eV per atom): 0.717
E above lowest polymorph (meV per atom): 391.1

Cell: 5.1254 5.1254 5.1254 Å, 90.00 90.00 90.00°
Last column: nearest neighbours and their distance in Å.
Space group Pm-3m (No. 221)
Inequivalent atoms, fractional coordinates:
Li 0.0000 0.0000 0.0000 [1 per cell]  6 Bi 2.56
Fe 0.5000 0.5000 0.5000 [1 per cell]  12 Bi 3.62
Bi 0.0000 0.0000 0.5000 [3 per cell]  2 Li 2.56

=====

(8)
LiFe2Bi | PBE | optimized geometry

Output
Magnetic moment (μB/f.u.): 5.2
ΔE_f (eV per atom): 0.523

Cell: 3.7452 3.7452 19.3988 Å, 90.00 90.00 90.00°
Last column: nearest neighbours and their distance in Å.
Space group I-42d (No. 122)
Inequivalent atoms, fractional coordinates:
Li 0.0000 0.0000 0.0000 [4 per cell]  4 Bi 2.65, 4 Fe 2.76
Fe 0.2503 0.2500 0.1250 [8 per cell]  4 Fe 2.65, 2 Bi 2.76, 2 Li 2.76
Bi 0.0000 0.0000 0.5000 [4 per cell]  4 Li 2.65, 4 Fe 2.76

=====

(9)
LiFeBi2 | PBE | optimized geometry

Output
Magnetic moment (μB/f.u.): 0.0
ΔE_f (eV per atom): 0.396
E above lowest polymorph (meV per atom): 162.1

Cell: 7.6255 7.6255 6.5556 Å, 90.00 90.00 90.00°
Last column: nearest neighbours and their distance in Å.
Space group I-42d (No. 122)
Inequivalent atoms, fractional coordinates:
Li 0.0000 0.0000 0.0000 [4 per cell]  4 Bi 3.06, 2 Fe 3.28
Fe 0.0000 0.0000 0.5000 [4 per cell]  4 Bi 2.60
Bi 0.2044 0.2500 0.6250 [8 per cell]  2 Fe 2.60

=====

(10)
Li2FeBi | PBE | optimized geometry

Output
Magnetic moment (μB/f.u.): 2.7
ΔE_f (eV per atom): 0.247

Cell: 3.9832 3.9832 19.7359 Å, 90.00 90.00 90.00°
Last column: nearest neighbours and their distance in Å.
Space group I-42d (No. 122)
Inequivalent atoms, fractional coordinates:
Li 0.2365 0.2500 0.1250 [8 per cell]  4 Li 2.74-2.89, 2 Fe 2.82, 2 Bi 2.86
Fe 0.0000 0.0000 0.0000 [4 per cell]  4 Bi 2.82, 4 Li 2.82
Bi 0.0000 0.0000 0.5000 [4 per cell]  4 Fe 2.82, 4 Li 2.86

=====

(11)
LiFeBi2 | PBE | optimized geometry

Output
Magnetic moment (μB/f.u.): 0.0
ΔE_f (eV per atom): 0.234
E above lowest polymorph (meV per atom): 0.0

Cell: 6.8163 6.8163 6.8163 Å, 90.00 90.00 90.00°
Last column: nearest neighbours and their distance in Å.
Space group Fm-3m (No. 225)
Inequivalent atoms, fractional coordinates:
Li 0.0000 0.0000 0.0000 [4 per cell]  8 Bi 2.95
Fe 0.0000 0.0000 0.5000 [4 per cell]  8 Bi 2.95
Bi 0.2500 0.2500 0.2500 [8 per cell]  4 Fe 2.95, 4 Li 2.95

=====

(12)
Li2FeBi2 | PBE | optimized geometry

Output
Magnetic moment (μB/f.u.): 2.4
ΔE_f (eV per atom): 0.012

Cell: 7.1326 7.1326 4.5003 Å, 90.00 90.00 90.00°
Last column: nearest neighbours and their distance in Å.
Space group P4/mbm (No. 127)
Inequivalent atoms, fractional coordinates:
Li 0.1543 0.3457 0.0000 [4 per cell]  6 Bi 2.95-3.16, 1 Li 3.11
Fe 0.0000 0.0000 0.5000 [2 per cell]  4 Bi 2.69
Bi 0.1567 0.6567 0.5000 [4 per cell]  2 Fe 2.69, 2 Li 2.95